(1)
A PBEsol-optimized structure of LiHfTi3. Source: Alexandria via LeMat-Bulk, functional meta-GGA SCAN.

a b c (Å): 4.856 4.856 4.856
angles (deg): 90.00 90.00 90.00
Fractional coordinates of all 5 atoms:
Li 0.500 0.500 0.500
Hf 0.000 0.000 0.000
Ti 0.000 0.500 0.000
Ti 0.000 0.000 0.500
Ti 0.500 0.000 0.000

## Properties
V: 22.899 Å³ per atom
formation energy: 1154 meV per atom


(2)
A PBEsol-optimized structure of LiYHf2. Source: Alexandria via LeMat-Bulk, functional meta-GGA SCAN.

a b c (Å): 4.966 4.966 4.966
angles (deg): 60.00 60.00 60.00
Fractional coordinates of all 4 atoms:
Y 0.500 0.500 0.500
Hf 0.250 0.250 0.250
Hf 0.750 0.750 0.750
Li 0.000 0.000 0.000

## Properties
V: 21.649 Å³ per atom
formation energy: 573 meV per atom


(3)
A PBEsol-optimized structure of LiYHf3. Source: Alexandria via LeMat-Bulk, functional meta-GGA SCAN.

a b c (Å): 5.159 5.159 5.159
angles (deg): 90.00 90.00 90.00
Fractional coordinates of all 5 atoms:
Y 0.000 0.000 0.000
Hf 0.000 0.500 0.000
Hf 0.000 0.000 0.500
Hf 0.500 0.000 0.000
Li 0.500 0.500 0.500

## Properties
V: 27.461 Å³ per atom
formation energy: 1629 meV per atom


(4)
A PBEsol-optimized structure of Li2HfZr2. Source: Alexandria via LeMat-Bulk, functional meta-GGA SCAN.

a b c (Å): 4.488 4.488 5.618
angles (deg): 113.54 113.54 90.00
Fractional coordinates of all 5 atoms:
Hf 0.000 0.000 0.000
Zr 0.250 0.750 0.500
Zr 0.750 0.250 0.500
Li 0.404 0.404 0.807
Li 0.596 0.596 0.193

## Properties
V: 18.678 Å³ per atom
formation energy: 479 meV per atom


(5)
A PBEsol-optimized structure of Lu4Hf3O12. Source: Alexandria via LeMat-Bulk, functional meta-GGA SCAN.

a b c (Å): 6.204 6.267 12.435
angles (deg): 99.35 99.28 99.42
Fractional coordinates of all 38 atoms:
Lu 0.299 0.611 0.819
Lu 0.388 0.865 0.597
Lu 0.858 0.691 0.946
Lu 0.312 0.610 0.318
Lu 0.142 0.309 0.054
Lu 0.701 0.389 0.181
Lu 0.688 0.390 0.682
Lu 0.612 0.135 0.403
Hf 0.007 0.006 0.252
Hf 0.390 0.858 0.095
Hf 0.993 0.994 0.748
Hf 0.854 0.676 0.446
Hf 0.146 0.324 0.554
Hf 0.610 0.142 0.905
O 0.317 0.959 0.796
O 0.071 0.921 0.092
O 0.323 0.942 0.284
O 0.036 0.896 0.588
O 0.569 0.830 0.962
O 0.586 0.820 0.462
O 0.185 0.591 0.969
O 0.925 0.679 0.778
O 0.430 0.581 0.158
O 0.174 0.576 0.465
O 0.923 0.692 0.289
O 0.570 0.419 0.842
O 0.410 0.569 0.658
O 0.075 0.321 0.222
O 0.815 0.409 0.031
O 0.590 0.431 0.342
O 0.077 0.308 0.711
O 0.826 0.424 0.535
O 0.431 0.170 0.038
O 0.414 0.180 0.538
O 0.929 0.079 0.908
O 0.683 0.041 0.204
O 0.964 0.104 0.412
O 0.677 0.058 0.716

## Properties
V: 12.151 Å³ per atom
energy relative to the elements, uncorrected: -3.99 eV per atom


(6)
A PBEsol-optimized structure of HfMgNbMo2. Source: Alexandria via LeMat-Bulk, functional meta-GGA SCAN.

a b c (Å): 4.663 4.663 4.901
angles (deg): 90.00 90.00 90.00
Fractional coordinates of all 5 atoms:
Mg 0.000 0.000 0.500
Mo 0.000 0.500 0.000
Mo 0.500 0.000 0.000
Hf 0.000 0.000 0.000
Nb 0.500 0.500 0.500

## Properties
V: 21.311 Å³ per atom
formation energy: 1823 meV per atom


(7)
A PBEsol-optimized structure of Hf2MgNiMo. Source: Alexandria via LeMat-Bulk, functional meta-GGA SCAN.

a b c (Å): 4.362 4.703 4.703
angles (deg): 90.00 90.00 90.00
Fractional coordinates of all 5 atoms:
Ni 0.000 0.000 0.000
Mo 0.500 0.500 0.500
Hf 0.000 0.000 0.500
Hf 0.000 0.500 0.000
Mg 0.500 0.000 0.000

## Properties
V: 19.296 Å³ per atom
formation energy: 562 meV per atom


(8)
A PBEsol-optimized structure of Hf2MgMoS. Source: Alexandria via LeMat-Bulk, functional meta-GGA SCAN.

a b c (Å): 4.161 5.004 5.004
angles (deg): 90.00 90.00 90.00
Fractional coordinates of all 5 atoms:
Mg 0.000 0.000 0.000
Mo 0.500 0.500 0.500
Hf 0.000 0.000 0.500
Hf 0.000 0.500 0.000
S 0.500 0.000 0.000

## Properties
V: 20.837 Å³ per atom
energy relative to the elements, uncorrected: 1.47 eV per atom


(9)
A PBEsol-optimized structure of Hf3MgN. Source: Alexandria via LeMat-Bulk, functional meta-GGA SCAN.

a b c (Å): 4.418 4.418 4.418
angles (deg): 90.00 90.00 90.00
Fractional coordinates of all 5 atoms:
Mg 0.500 0.500 0.500
Hf 0.000 0.500 0.000
Hf 0.000 0.000 0.500
Hf 0.500 0.000 0.000
N 0.000 0.000 0.000

## Properties
V: 17.251 Å³ per atom
energy relative to the elements, uncorrected: -0.73 eV per atom


(10)
A PBEsol-optimized structure of HfMg2PN. Source: Alexandria via LeMat-Bulk, functional meta-GGA SCAN.

a b c (Å): 4.552 4.552 4.822
angles (deg): 90.00 90.00 90.00
Fractional coordinates of all 5 atoms:
P 0.000 0.000 0.000
Mg 0.000 0.500 0.000
Mg 0.500 0.000 0.000
Hf 0.000 0.000 0.500
N 0.500 0.500 0.500

## Properties
V: 19.984 Å³ per atom
energy relative to the elements, uncorrected: 0.81 eV per atom


(11)
A PBEsol-optimized structure of HfMgSeN2. Source: Alexandria via LeMat-Bulk, functional meta-GGA SCAN.

a b c (Å): 4.136 4.136 4.931
angles (deg): 90.00 90.00 90.00
Fractional coordinates of all 5 atoms:
Mg 0.500 0.500 0.500
Hf 0.000 0.000 0.500
Se 0.000 0.000 0.000
N 0.000 0.500 0.000
N 0.500 0.000 0.000

## Properties
V: 16.873 Å³ per atom
energy relative to the elements, uncorrected: 1.57 eV per atom


(12)
A PBEsol-optimized structure of HfMgNb2Rh. Source: Alexandria via LeMat-Bulk, functional meta-GGA SCAN.

a b c (Å): 4.659 4.791 4.791
angles (deg): 90.00 90.00 90.00
Fractional coordinates of all 5 atoms:
Rh 0.000 0.000 0.000
Nb 0.000 0.000 0.500
Nb 0.000 0.500 0.000
Hf 0.500 0.500 0.500
Mg 0.500 0.000 0.000

## Properties
V: 21.393 Å³ per atom
formation energy: 633 meV per atom